Compound: SrTa2Hg
Source: Alexandria
Functional: meta-GGA SCAN
Structure: single point on PBEsol structure

Its calculated formation energy is 558 meV/atom. The uncorrected energy is -221.38 eV/f.u. The value obtained for the density of states at the Fermi level is 3.0 states/eV/cell. As for the space group: C2/m (12). The calculated volume comes out at 22.0 Å³/atom.

Lattice parameters (Å, degrees): 6.421 6.421 5.102 113.11 113.11 27.28
Positions (direct):
Sr 0.000 0.000 0.000
Ta 0.222 0.222 0.723
Ta 0.778 0.778 0.277
Hg 0.500 0.500 0.500

---

Compound: CuReB2Br
Source: Alexandria
Functional: meta-GGA SCAN
Structure: single point on PBEsol structure

The uncorrected energy is -106.06 eV/f.u. Its formation energy from raw total energies is 1404 kJ/mol of formula units. The value obtained for the density of states at the Fermi level is 2.9 states/eV/cell. As for the space group: P4/mmm (123). The calculated volume comes out at 14.8 Å³/atom.

Lattice parameters (Å, degrees): 3.940 3.940 4.769 90.00 90.00 90.00
Positions (direct):
Cu 0.000 0.000 0.000
Re 0.500 0.500 0.000
B 0.000 0.500 0.500
B 0.500 0.000 0.500
Br 0.500 0.500 0.500

---

Compound: KAl4Cu
Source: Alexandria
Functional: meta-GGA SCAN
Structure: single point on PBEsol structure

Its calculated formation energy is 401 meV/atom. The uncorrected energy is -52.13 eV/f.u. The value obtained for the density of states at the Fermi level is 2.0 states/eV/cell. As for the space group: F-43m (216). The calculated volume comes out at 19.7 Å³/atom.

Lattice parameters (Å, degrees): 5.505 5.505 5.505 60.00 60.00 60.00
Positions (direct):
K 0.000 0.000 0.000
Al 0.375 0.375 0.375
Al 0.375 0.375 0.876
Al 0.375 0.876 0.375
Al 0.876 0.375 0.375
Cu 0.750 0.750 0.750

---

Compound: Ba4TcNi
Source: Alexandria
Functional: meta-GGA SCAN
Structure: single point on PBEsol structure

Its calculated formation energy is 1439 meV/atom. The uncorrected energy is -200.80 eV/f.u. The value obtained for the density of states at the Fermi level is 9.7 states/eV/cell. As for the space group: F-43m (216). The calculated volume comes out at 35.0 Å³/atom.

Lattice parameters (Å, degrees): 6.672 6.672 6.672 60.00 60.00 60.00
Positions (direct):
Ba 0.125 0.125 0.125
Ba 0.125 0.125 0.626
Ba 0.125 0.626 0.125
Ba 0.626 0.125 0.125
Tc 0.500 0.500 0.500
Ni 0.750 0.750 0.750

---

Compound: LiSiIr
Source: Alexandria
Functional: meta-GGA SCAN
Structure: single point on PBEsol structure

The uncorrected energy is -85.39 eV/f.u. Its formation energy from raw total energies is -182 kJ/mol of formula units. The value obtained for the density of states at the Fermi level is 0.2 states/eV/cell. As for the space group: I4mm (107). The calculated volume comes out at 12.1 Å³/atom.

Lattice parameters (Å, degrees): 4.563 4.563 4.563 141.74 141.74 55.22
Positions (direct):
Li 0.000 0.000 0.000
Si 0.666 0.666 0.000
Ir 0.326 0.326 0.000

---

Compound: LiFe3Se
Source: Alexandria
Functional: meta-GGA SCAN
Structure: single point on PBEsol structure

The uncorrected energy is -72.06 eV/f.u. Its formation energy from raw total energies is 463 kJ/mol of formula units. The value obtained for the density of states at the Fermi level is 3.7 states/eV/cell. As for the space group: Pm-3m (221). The calculated volume comes out at 13.3 Å³/atom.

Lattice parameters (Å, degrees): 4.053 4.053 4.053 90.00 90.00 90.00
Positions (direct):
Li 0.000 0.000 0.000
Fe 0.000 0.000 0.500
Fe 0.000 0.500 0.000
Fe 0.500 0.000 0.000
Se 0.500 0.500 0.500

---

> The highest uncorrected energy belongs to which entry?

KAl4Cu

---

> Which of these has the lowest calculated volume?

LiSiIr

---

> Number 5 is which compound?

LiSiIr

---

> Which of these has the lowest uncorrected energy?

SrTa2Hg